1.
An optimized crystal structure of TiRu2Cl2, computed with PBE.

The structure in POSCAR format:
```
TiRu2Cl2
1.0
3.9628 0.0000 0.0000
0.0000 3.9628 0.0000
1.9814 1.9814 5.2888
Ru Cl Ti
2 2 1
direct
0.7500 0.2500 0.5000
0.2500 0.7500 0.5000
0.3763 0.3763 0.2473
0.6237 0.6237 0.7527
0.0000 0.0000 0.0000
```

Results
DOS at the Fermi energy = 1.205 states/eV/atom
E_form (uncorrected) = 4.2 eV/f.u.
ΔE to the lowest computed polymorph = 312 meV per atom
mass density = 6.416 g/cm3

***

2.
An optimized crystal structure of Ba2YMg, computed with PBE.

The structure in POSCAR format:
```
Ba2YMg
1.0
-0.5418 -2.2409 -9.4942
7.5506 -6.1171 1.0129
1.2464 -6.8408 -3.4835
Y Mg Ba
2 2 4
direct
0.0000 0.0000 0.0000
0.7500 0.2500 0.5000
0.5000 0.5000 0.0000
0.2500 0.7500 0.5000
0.6018 0.1250 0.2500
0.1482 0.6250 0.2500
0.3750 0.3982 0.7500
0.8750 0.8518 0.7500
```

Results
DOS at the Fermi energy = 2.045 states/eV/atom
energy = -10.353 eV per formula unit
mass density = 3.778 g/cm3

***

3.
An optimized crystal structure of Al2RuC, computed with PBE.

The structure in POSCAR format:
```
Al2RuC
1.0
-2.0943 4.5284 -4.0887
-5.0415 1.1503 3.8563
-2.2829 4.5024 1.0675
Ru C Al
2 2 4
direct
0.0000 0.0000 0.0000
0.7500 0.2500 0.5000
0.5000 0.5000 0.0000
0.2500 0.7500 0.5000
0.5333 0.1250 0.2500
0.2167 0.6250 0.2500
0.3750 0.4667 0.7500
0.8750 0.7833 0.7500
```

Results
DOS at the Fermi energy = 0.423 states/eV/atom
energy = -24.787 eV per formula unit
mass density = 5.527 g/cm3

***

4.
An optimized crystal structure of Mn14BeFe, computed with PBE.

The structure in POSCAR format:
```
Mn14BeFe
1.0
-3.2601 -3.3480 -1.3575
3.6443 -2.0226 2.5116
-3.9612 1.1510 6.6745
Mn Be Fe
14 1 1
direct
0.1785 0.8215 0.0000
0.6431 0.3569 0.0000
0.1236 0.4334 0.5000
0.1236 0.2971 0.0000
0.5666 0.8764 0.5000
0.7029 0.8764 0.0000
0.3399 0.1018 0.7482
0.3399 0.1018 0.2518
0.8982 0.6601 0.7482
0.8982 0.6601 0.2518
0.3970 0.6030 0.7707
0.3970 0.6030 0.2293
0.8521 0.1479 0.7345
0.8521 0.1479 0.2655
0.0769 0.9231 0.5000
0.6101 0.3899 0.5000
```

Results
DOS at the Fermi energy = 1.081 states/eV/atom
energy = -139.404 eV per formula unit
mass density = 7.988 g/cm3